i | A relaxed RbSrIn3 crystal, computed with PBE-GGA.

Values from the calculation:
Theoretical density   3.7 g/cm3
Space-group type   Pm-3m
Total magnetic moment   0.00 μB/cell
N(E_F)   6.23 states/eV per cell

a = 6.158 Å, b = 6.158 Å, c = 6.158 Å
α = 90.00°, β = 90.00°, γ = 90.00°
Atoms (fractional coordinates):
Sr (0.500, 0.500, 0.500)
Rb (0.000, 0.000, 0.000)
In (0.000, 0.500, 0.000)
In (0.000, 0.000, 0.500)
In (0.500, 0.000, 0.000)


ii | A relaxed RbSrIn3 crystal, computed with PBE-GGA.

Values from the calculation:
Theoretical density   3.4 g/cm3
Space-group type   Pm-3m
Total magnetic moment   0.00 μB/cell
N(E_F)   9.32 states/eV per cell

a = 6.333 Å, b = 6.333 Å, c = 6.333 Å
α = 90.00°, β = 90.00°, γ = 90.00°
Atoms (fractional coordinates):
Sr (0.000, 0.000, 0.000)
Rb (0.500, 0.500, 0.500)
In (0.000, 0.500, 0.000)
In (0.000, 0.000, 0.500)
In (0.500, 0.000, 0.000)


Most favorable first, least favorable last: ii, i


i | A relaxed Rb2SrIn2 crystal, computed with PBE-GGA.

Values from the calculation:
Theoretical density   3.6 g/cm3
Space-group type   I4/mmm
Total magnetic moment   0.00 μB/cell
N(E_F)   4.04 states/eV per cell

a = 5.090 Å, b = 5.090 Å, c = 9.308 Å
α = 74.13°, β = 74.13°, γ = 90.00°
Atoms (fractional coordinates):
Sr (0.000, 0.000, 0.000)
Rb (0.750, 0.250, 0.500)
Rb (0.250, 0.750, 0.500)
In (0.415, 0.415, 0.170)
In (0.585, 0.585, 0.830)


ii | A relaxed Rb2SrIn2 crystal, computed with PBE-GGA.

Values from the calculation:
Theoretical density   3.3 g/cm3
Space-group type   P4/mbm
Total magnetic moment   0.00 μB/cell
N(E_F)   10.99 states/eV per cell

a = 8.739 Å, b = 8.739 Å, c = 6.354 Å
α = 90.00°, β = 90.00°, γ = 90.00°
Atoms (fractional coordinates):
Sr (0.000, 0.000, 0.000)
Sr (0.500, 0.500, 0.000)
Rb (0.174, 0.674, 0.500)
Rb (0.674, 0.826, 0.500)
Rb (0.826, 0.326, 0.500)
Rb (0.326, 0.174, 0.500)
In (0.383, 0.883, 0.000)
In (0.883, 0.617, 0.000)
In (0.617, 0.117, 0.000)
In (0.117, 0.383, 0.000)


Most favorable first, least favorable last: ii, i


i | A relaxed Rb2TaIn2 crystal, computed with PBE-GGA.

Values from the calculation:
Theoretical density   4.6 g/cm3
Space-group type   I4/mmm
Total magnetic moment   3.98 μB/cell
N(E_F)   7.86 states/eV per cell

a = 4.135 Å, b = 4.135 Å, c = 12.544 Å
α = 80.51°, β = 80.51°, γ = 90.00°
Atoms (fractional coordinates):
In (0.750, 0.250, 0.500)
In (0.250, 0.750, 0.500)
Rb (0.394, 0.394, 0.211)
Rb (0.606, 0.606, 0.789)
Ta (0.000, 0.000, 0.000)


ii | A relaxed Rb2TaIn2 crystal, computed with PBE-GGA.

Values from the calculation:
Theoretical density   5.4 g/cm3
Space-group type   P4/mbm
Total magnetic moment   3.19 μB/cell
N(E_F)   6.17 states/eV per cell

a = 10.771 Å, b = 10.771 Å, c = 3.056 Å
α = 90.00°, β = 90.00°, γ = 90.00°
Atoms (fractional coordinates):
In (0.103, 0.603, 0.500)
In (0.603, 0.897, 0.500)
In (0.897, 0.397, 0.500)
In (0.397, 0.103, 0.500)
Rb (0.308, 0.808, 0.000)
Rb (0.808, 0.692, 0.000)
Rb (0.692, 0.192, 0.000)
Rb (0.192, 0.308, 0.000)
Ta (0.000, 0.000, 0.000)
Ta (0.500, 0.500, 0.000)


Most favorable first, least favorable last: ii, i


i | A relaxed RbTa3In crystal, computed with PBE-GGA.

Values from the calculation:
Theoretical density   8.5 g/cm3
Space-group type   Pm-3m
Total magnetic moment   0.00 μB/cell
N(E_F)   10.15 states/eV per cell

a = 5.252 Å, b = 5.252 Å, c = 5.252 Å
α = 90.00°, β = 90.00°, γ = 90.00°
Atoms (fractional coordinates):
In (0.000, 0.000, 0.000)
Rb (0.500, 0.500, 0.500)
Ta (0.000, 0.500, 0.000)
Ta (0.000, 0.000, 0.500)
Ta (0.500, 0.000, 0.000)


ii | A relaxed RbTa3In crystal, computed with PBE-GGA.

Values from the calculation:
Theoretical density   10.9 g/cm3
Space-group type   Pm-3m
Total magnetic moment   0.00 μB/cell
N(E_F)   4.46 states/eV per cell

a = 4.836 Å, b = 4.836 Å, c = 4.836 Å
α = 90.00°, β = 90.00°, γ = 90.00°
Atoms (fractional coordinates):
In (0.500, 0.500, 0.500)
Rb (0.000, 0.000, 0.000)
Ta (0.000, 0.500, 0.000)
Ta (0.000, 0.000, 0.500)
Ta (0.500, 0.000, 0.000)


Most favorable first, least favorable last: i, ii


i | A relaxed RbInTc3 crystal, computed with PBE-GGA.

Values from the calculation:
Theoretical density   5.8 g/cm3
Space-group type   Pm-3m
Total magnetic moment   8.81 μB/cell
N(E_F)   10.43 states/eV per cell

a = 5.225 Å, b = 5.225 Å, c = 5.225 Å
α = 90.00°, β = 90.00°, γ = 90.00°
Atoms (fractional coordinates):
Tc (0.000, 0.500, 0.000)
Tc (0.000, 0.000, 0.500)
Tc (0.500, 0.000, 0.000)
Rb (0.500, 0.500, 0.500)
In (0.000, 0.000, 0.000)


ii | A relaxed RbInTc3 crystal, computed with PBE-GGA.

Values from the calculation:
Theoretical density   7.7 g/cm3
Space-group type   Pm-3m
Total magnetic moment   3.65 μB/cell
N(E_F)   8.32 states/eV per cell

a = 4.747 Å, b = 4.747 Å, c = 4.747 Å
α = 90.00°, β = 90.00°, γ = 90.00°
Atoms (fractional coordinates):
Tc (0.000, 0.500, 0.000)
Tc (0.000, 0.000, 0.500)
Tc (0.500, 0.000, 0.000)
Rb (0.000, 0.000, 0.000)
In (0.500, 0.500, 0.500)


Most favorable first, least favorable last: i, ii


i | A relaxed Rb2InTc2 crystal, computed with PBE-GGA.

Values from the calculation:
Theoretical density   5.0 g/cm3
Space-group type   P4/mbm
Total magnetic moment   10.28 μB/cell
N(E_F)   10.40 states/eV per cell

a = 10.543 Å, b = 10.543 Å, c = 2.862 Å
α = 90.00°, β = 90.00°, γ = 90.00°
Atoms (fractional coordinates):
Tc (0.178, 0.678, 0.500)
Tc (0.678, 0.822, 0.500)
Tc (0.822, 0.322, 0.500)
Tc (0.322, 0.178, 0.500)
Rb (0.377, 0.877, 0.000)
Rb (0.877, 0.623, 0.000)
Rb (0.623, 0.123, 0.000)
Rb (0.123, 0.377, 0.000)
In (0.000, 0.000, 0.000)
In (0.500, 0.500, 0.000)


ii | A relaxed Rb2InTc2 crystal, computed with PBE-GGA.

Values from the calculation:
Theoretical density   5.2 g/cm3
Space-group type   I4/mmm
Total magnetic moment   0.00 μB/cell
N(E_F)   5.08 states/eV per cell

a = 3.484 Å, b = 3.484 Å, c = 13.033 Å
α = 82.32°, β = 82.32°, γ = 90.00°
Atoms (fractional coordinates):
Tc (0.750, 0.250, 0.500)
Tc (0.250, 0.750, 0.500)
Rb (0.376, 0.376, 0.247)
Rb (0.624, 0.624, 0.753)
In (0.000, 0.000, 0.000)


Most favorable first, least favorable last: ii, i


i | A relaxed RbIn2Tc crystal, computed with PBE-GGA.

Values from the calculation:
Theoretical density   4.0 g/cm3
Space-group type   I4_1/amd
Total magnetic moment   2.66 μB/cell
N(E_F)   8.13 states/eV per cell

a = 6.406 Å, b = 6.406 Å, c = 9.471 Å
α = 70.23°, β = 70.23°, γ = 90.00°
Atoms (fractional coordinates):
Tc (0.000, 0.000, 0.000)
Tc (0.750, 0.250, 0.500)
Rb (0.500, 0.500, 0.000)
Rb (0.250, 0.750, 0.500)
In (0.875, 0.125, 0.250)
In (0.875, 0.625, 0.250)
In (0.375, 0.125, 0.750)
In (0.875, 0.125, 0.750)


ii | A relaxed RbIn2Tc crystal, computed with PBE-GGA.

Values from the calculation:
Theoretical density   6.5 g/cm3
Space-group type   Fm-3m
Total magnetic moment   2.88 μB/cell
N(E_F)   5.35 states/eV per cell

a = 5.315 Å, b = 5.315 Å, c = 5.315 Å
α = 60.00°, β = 60.00°, γ = 60.00°
Atoms (fractional coordinates):
Tc (0.500, 0.500, 0.500)
Rb (0.000, 0.000, 0.000)
In (0.250, 0.250, 0.250)
In (0.750, 0.750, 0.750)


Most favorable first, least favorable last: i, ii


i | A relaxed RbIn3Te crystal, computed with PBE-GGA.

Values from the calculation:
Theoretical density   3.7 g/cm3
Space-group type   Pm-3m
Total magnetic moment   0.00 μB/cell
N(E_F)   3.22 states/eV per cell

a = 6.322 Å, b = 6.322 Å, c = 6.322 Å
α = 90.00°, β = 90.00°, γ = 90.00°
Atoms (fractional coordinates):
Te (0.500, 0.500, 0.500)
Rb (0.000, 0.000, 0.000)
In (0.000, 0.500, 0.000)
In (0.000, 0.000, 0.500)
In (0.500, 0.000, 0.000)


ii | A relaxed RbIn3Te crystal, computed with PBE-GGA.

Values from the calculation:
Theoretical density   4.0 g/cm3
Space-group type   Pm-3m
Total magnetic moment   0.00 μB/cell
N(E_F)   4.22 states/eV per cell

a = 6.164 Å, b = 6.164 Å, c = 6.164 Å
α = 90.00°, β = 90.00°, γ = 90.00°
Atoms (fractional coordinates):
Te (0.000, 0.000, 0.000)
Rb (0.500, 0.500, 0.500)
In (0.000, 0.500, 0.000)
In (0.000, 0.000, 0.500)
In (0.500, 0.000, 0.000)


Most favorable first, least favorable last: ii, i


i | A relaxed Rb2InTe crystal, computed with PBE-GGA.

Values from the calculation:
Theoretical density   4.0 g/cm3
Space-group type   Fm-3m
Total magnetic moment   0.08 μB/cell
N(E_F)   3.91 states/eV per cell

a = 6.214 Å, b = 6.214 Å, c = 6.214 Å
α = 60.00°, β = 60.00°, γ = 60.00°
Atoms (fractional coordinates):
Te (0.500, 0.500, 0.500)
Rb (0.250, 0.250, 0.250)
Rb (0.750, 0.750, 0.750)
In (0.000, 0.000, 0.000)


ii | A relaxed Rb2InTe crystal, computed with PBE-GGA.

Values from the calculation:
Theoretical density   3.6 g/cm3
Space-group type   I-42d
Total magnetic moment   1.99 μB/cell
N(E_F)   1.52 states/eV per cell

a = 5.600 Å, b = 5.600 Å, c = 12.843 Å
α = 77.41°, β = 77.41°, γ = 90.00°
Atoms (fractional coordinates):
Te (0.000, 0.000, 0.000)
Te (0.750, 0.250, 0.500)
Rb (0.647, 0.125, 0.250)
Rb (0.103, 0.625, 0.250)
Rb (0.375, 0.353, 0.750)
Rb (0.875, 0.897, 0.750)
In (0.500, 0.500, 0.000)
In (0.250, 0.750, 0.500)


Most favorable first, least favorable last: i, ii


i | A relaxed RbTiIn2 crystal, computed with PBE-GGA.

Values from the calculation:
Theoretical density   3.5 g/cm3
Space-group type   I-42d
Total magnetic moment   4.83 μB/cell
N(E_F)   9.85 states/eV per cell

a = 6.059 Å, b = 6.059 Å, c = 10.418 Å
α = 73.09°, β = 73.09°, γ = 90.00°
Atoms (fractional coordinates):
Ti (0.500, 0.500, 0.000)
Ti (0.250, 0.750, 0.500)
Rb (0.000, 0.000, 0.000)
Rb (0.750, 0.250, 0.500)
In (0.374, 0.125, 0.250)
In (0.376, 0.625, 0.250)
In (0.375, 0.626, 0.750)
In (0.875, 0.624, 0.750)


ii | A relaxed RbTiIn2 crystal, computed with PBE-GGA.

Values from the calculation:
Theoretical density   5.4 g/cm3
Space-group type   Fm-3m
Total magnetic moment   0.00 μB/cell
N(E_F)   9.46 states/eV per cell

a = 5.403 Å, b = 5.403 Å, c = 5.403 Å
α = 60.00°, β = 60.00°, γ = 60.00°
Atoms (fractional coordinates):
Ti (0.000, 0.000, 0.000)
Rb (0.500, 0.500, 0.500)
In (0.250, 0.250, 0.250)
In (0.750, 0.750, 0.750)


Most favorable first, least favorable last: i, ii


i | A relaxed RbTl2In2 crystal, computed with PBE-GGA.

Values from the calculation:
Theoretical density   6.8 g/cm3
Space-group type   P4/mmm
Total magnetic moment   0.00 μB/cell
N(E_F)   1.31 states/eV per cell

a = 4.744 Å, b = 4.744 Å, c = 7.815 Å
α = 90.00°, β = 90.00°, γ = 90.00°
Atoms (fractional coordinates):
Rb (0.000, 0.000, 0.000)
Tl (0.500, 0.500, 0.766)
Tl (0.500, 0.500, 0.234)
In (0.500, 0.000, 0.500)
In (0.000, 0.500, 0.500)


ii | A relaxed RbTl2In2 crystal, computed with PBE-GGA.

Values from the calculation:
Theoretical density   7.3 g/cm3
Space-group type   P4/mbm
Total magnetic moment   0.00 μB/cell
N(E_F)   6.26 states/eV per cell

a = 9.542 Å, b = 9.542 Å, c = 3.623 Å
α = 90.00°, β = 90.00°, γ = 90.00°
Atoms (fractional coordinates):
Tl (0.360, 0.860, 0.000)
Tl (0.860, 0.640, 0.000)
Tl (0.640, 0.140, 0.000)
Tl (0.140, 0.360, 0.000)
Rb (0.000, 0.000, 0.000)
Rb (0.500, 0.500, 0.000)
In (0.149, 0.649, 0.500)
In (0.649, 0.851, 0.500)
In (0.851, 0.351, 0.500)
In (0.351, 0.149, 0.500)


iii | A relaxed RbTl2In2 crystal, computed with PBE-GGA.

Values from the calculation:
Theoretical density   6.9 g/cm3
Space-group type   I4/mmm
Total magnetic moment   0.00 μB/cell
N(E_F)   2.07 states/eV per cell

a = 5.248 Å, b = 5.248 Å, c = 7.333 Å
α = 69.03°, β = 69.03°, γ = 90.00°
Atoms (fractional coordinates):
Tl (0.750, 0.250, 0.500)
Tl (0.250, 0.750, 0.500)
Rb (0.000, 0.000, 0.000)
In (0.384, 0.384, 0.233)
In (0.616, 0.616, 0.767)


Most favorable first, least favorable last: iii, i, ii


i | A relaxed RbTlIn crystal, computed with PBE-GGA.

Values from the calculation:
Theoretical density   5.4 g/cm3
Space-group type   P-1
Total magnetic moment   0.00 μB/cell
N(E_F)   2.64 states/eV per cell

a = 4.804 Å, b = 7.043 Å, c = 7.829 Å
α = 81.29°, β = 72.06°, γ = 89.55°
Atoms (fractional coordinates):
Rb (0.101, 0.465, 0.078)
Rb (0.318, 0.163, 0.631)
Tl (0.629, 0.962, 0.015)
Tl (0.790, 0.666, 0.694)
In (0.990, 0.933, 0.291)
In (0.429, 0.695, 0.418)


ii | A relaxed RbTlIn crystal, computed with PBE-GGA.

Values from the calculation:
Theoretical density   5.5 g/cm3
Space-group type   P-6m2
Total magnetic moment   0.00 μB/cell
N(E_F)   1.41 states/eV per cell

a = 5.090 Å, b = 5.258 Å, c = 5.258 Å
α = 120.00°, β = 90.00°, γ = 90.00°
Atoms (fractional coordinates):
Tl (0.167, 0.333, 0.667)
Rb (0.667, 0.667, 0.333)
In (0.166, 0.000, 0.000)


iii | A relaxed RbTlIn crystal, computed with PBE-GGA.

Values from the calculation:
Theoretical density   6.1 g/cm3
Space-group type   Pnma
Total magnetic moment   0.00 μB/cell
N(E_F)   9.89 states/eV per cell

a = 9.112 Å, b = 5.332 Å, c = 9.103 Å
α = 89.99°, β = 90.00°, γ = 90.00°
Atoms (fractional coordinates):
In (0.588, 0.250, 0.671)
In (0.088, 0.750, 0.829)
In (0.412, 0.750, 0.329)
In (0.912, 0.250, 0.171)
Tl (0.408, 0.750, 0.676)
Tl (0.092, 0.750, 0.176)
Tl (0.592, 0.250, 0.324)
Tl (0.908, 0.250, 0.824)
Rb (0.677, 0.750, 0.999)
Rb (0.823, 0.750, 0.499)
Rb (0.323, 0.250, 0.001)
Rb (0.177, 0.250, 0.501)


Most favorable first, least favorable last: iii, i, ii